A relaxed structure of CeGaSi. Source: the Alexandria database, functional PBEsol.

Total energy ... -5.87 eV per atom

abc: 4.122 4.122 14.234
angles: 90.00 90.00 90.00
Sites, in units of the cell vectors:
Ce  0.000  0.000  0.000
Ce  0.000  0.500  0.250
Ce  0.500  0.000  0.750
Ce  0.500  0.500  0.500
Ga  0.000  0.000  0.583
Ga  0.000  0.500  0.833
Ga  0.500  0.000  0.333
Ga  0.500  0.500  0.083
Si  0.000  0.000  0.417
Si  0.000  0.500  0.667
Si  0.500  0.000  0.167
Si  0.500  0.500  0.917

***

A relaxed structure of CeZnGa. Source: the Alexandria database, functional PBEsol.

ΔH_f (0 K) ... -0.422 eV per atom

abc: 4.457 4.457 6.993
angles: 90.00 90.00 120.00
Sites, in units of the cell vectors:
Ce  0.000  0.000  0.000
Ce  0.000  0.000  0.500
Zn  0.333  0.667  0.250
Zn  0.667  0.333  0.750
Ga  0.333  0.667  0.750
Ga  0.667  0.333  0.250

***

A relaxed structure of CeZn2Ga2. Source: the Alexandria database, functional PBEsol.

ΔH_f (0 K) ... -0.412 eV per atom

abc: 4.205 4.205 10.259
angles: 90.00 90.00 90.00
Sites, in units of the cell vectors:
Ce  0.000  0.000  0.000
Ce  0.500  0.500  0.500
Zn  0.000  0.000  0.385
Zn  0.000  0.000  0.615
Zn  0.500  0.500  0.115
Zn  0.500  0.500  0.885
Ga  0.000  0.500  0.250
Ga  0.000  0.500  0.750
Ga  0.500  0.000  0.250
Ga  0.500  0.000  0.750

***

A relaxed structure of CeGd3. Source: the Alexandria database, functional PBEsol.

ΔH_f (0 K) ... 0.105 eV per atom

abc: 4.886 4.886 4.886
angles: 90.00 90.00 90.00
Sites, in units of the cell vectors:
Ce  0.000  0.000  0.000
Gd  0.000  0.500  0.500
Gd  0.500  0.000  0.500
Gd  0.500  0.500  0.000

***

A relaxed structure of Ce3Gd. Source: the Alexandria database, functional PBEsol.

ΔH_f (0 K) ... 0.113 eV per atom

abc: 4.678 4.678 4.678
angles: 90.00 90.00 90.00
Sites, in units of the cell vectors:
Ce  0.000  0.000  0.500
Ce  0.000  0.500  0.000
Ce  0.500  0.000  0.000
Gd  0.500  0.500  0.500

***

A relaxed structure of CeGe. Source: the Alexandria database, functional PBEsol.

ΔH_f (0 K) ... -0.677 eV per atom

abc: 8.132 3.983 5.791
angles: 90.00 90.00 90.00
Sites, in units of the cell vectors:
Ce  0.185  0.250  0.121
Ce  0.315  0.750  0.621
Ce  0.685  0.250  0.379
Ce  0.815  0.750  0.879
Ge  0.037  0.250  0.641
Ge  0.463  0.750  0.141
Ge  0.537  0.250  0.859
Ge  0.963  0.750  0.359

***

A relaxed structure of CeGe2Ir2. Source: the Alexandria database, functional PBEsol.

ΔH_f (0 K) ... -0.771 eV per atom

abc: 4.196 4.196 10.075
angles: 90.00 90.00 90.00
Sites, in units of the cell vectors:
Ce  0.250  0.250  0.245
Ce  0.750  0.750  0.755
Ge  0.250  0.250  0.632
Ge  0.250  0.750  0.000
Ge  0.750  0.250  0.000
Ge  0.750  0.750  0.368
Ir  0.250  0.250  0.871
Ir  0.250  0.750  0.500
Ir  0.750  0.250  0.500
Ir  0.750  0.750  0.129

***

A relaxed structure of CeGeIr. Source: the Alexandria database, functional PBEsol.

ΔH_f (0 K) ... -0.861 eV per atom

abc: 6.899 4.346 7.580
angles: 90.00 90.00 90.00
Sites, in units of the cell vectors:
Ce  0.014  0.250  0.199
Ce  0.486  0.750  0.699
Ce  0.514  0.250  0.301
Ce  0.986  0.750  0.801
Ge  0.175  0.250  0.582
Ge  0.325  0.750  0.082
Ge  0.675  0.250  0.918
Ge  0.825  0.750  0.418
Ir  0.219  0.750  0.409
Ir  0.281  0.250  0.909
Ir  0.719  0.750  0.091
Ir  0.781  0.250  0.591

***

no.,DOS at the Fermi energy (states/eV per atom),total magnetic moment (μB/atom)
1,1.71,0.253
2,1.51,0.177
3,1.25,0.097
4,2.21,5.320
5,2.51,1.704
6,2.65,0.342
7,0.85,0.068
8,1.41,0.000